Here is a crystal of TaCr2Re relaxed with PBEsol from the Alexandria database. Energies are from meta-GGA SCAN.

The volume comes out at 13.71 Å³ per atom. The value obtained for the size of the total moment is 0.0 μB/f.u. The raw total energy comes out at -43.765 eV/atom. The energy relative to the elements is -59 kJ/mol of formula units. The distance to the lowest polymorph of the same formula is 0 meV per atom.

The structure belongs to space group F-43m (No. 216); the cell edges are 6.031, 6.031 and 6.031 Å and the angles 90.00°, 90.00° and 90.00°. The asymmetric unit holds Ta at (0.000, 0.000, 0.000), Cr at (0.000, 0.000, 0.500), Cr at (0.250, 0.250, 0.750) and Re at (0.250, 0.250, 0.250).